No. 1
Below is a relaxed PrNd2B2Pt2N3 crystal, with properties calculated at the PBE-GGA level.

a = 10.680 Å, b = 10.680 Å, c = 10.680 Å
α = 159.63°, β = 159.63°, γ = 28.97°
Fractional coordinates of all 10 atoms:
Pr: 0.000 0.000 0.000
Nd: 0.378 0.378 0.000
Nd: 0.622 0.622 0.000
B: 0.188 0.188 0.000
B: 0.812 0.812 0.000
Pt: 0.250 0.750 0.500
Pt: 0.750 0.250 0.500
N: 0.119 0.119 0.000
N: 0.500 0.500 0.000
N: 0.881 0.881 0.000

## Properties
Total energy (eV per cell): -76.23
Crystal system: tetragonal
Theoretical density (Mg/m³): 9.94

No. 2
Below is a relaxed NdSmB2Pt2N2 crystal, with properties calculated at the PBE-GGA level.

a = 3.792 Å, b = 3.792 Å, c = 7.722 Å
α = 90.00°, β = 90.00°, γ = 90.00°
Fractional coordinates of all 8 atoms:
Nd: 0.000 0.000 0.000
Sm: 0.500 0.500 0.327
B: 0.000 0.000 0.497
B: 0.500 0.500 0.831
Pt: 0.000 0.500 0.663
Pt: 0.500 0.000 0.663
N: 0.000 0.000 0.311
N: 0.500 0.500 0.018

## Properties
Total energy (eV per cell): -60.50
Crystal system: tetragonal
Theoretical density (Mg/m³): 10.98

No. 3
Below is a relaxed Pr2SmNi2B2N3 crystal, with properties calculated at the PBE-GGA level.

a = 10.456 Å, b = 10.456 Å, c = 10.456 Å
α = 160.00°, β = 160.00°, γ = 28.43°
Fractional coordinates of all 10 atoms:
Pr: 0.126 0.126 0.000
Pr: 0.874 0.874 0.000
Sm: 0.500 0.500 0.000
Ni: 0.250 0.750 0.500
Ni: 0.750 0.250 0.500
B: 0.307 0.307 0.000
B: 0.693 0.693 0.000
N: 0.000 0.000 0.000
N: 0.379 0.379 0.000
N: 0.621 0.621 0.000

## Properties
Total energy (eV per cell): -74.18
Crystal system: tetragonal
Theoretical density (Mg/m³): 7.62